14
Lattice="-0.772 -4.154 -4.954 2.727 -5.985 0.315 -3.897 -5.255 0.735" Properties=species:S:1:pos:R:3 comment="HoTlZnO4 (GGA-PBE, optimized geometry)" density_g_cm3=8.2 sg="No. 74" raw_formation_energy_ev_per_atom=-1.825 pbc="T T T"
Ho -0.585 -5.620 0.525
Ho 0.000 0.000 0.000
O 0.890 -6.766 -0.760
O 0.482 -8.962 -3.379
O -0.892 -5.899 -3.472
O -1.434 -11.524 -2.950
O -2.832 -8.627 -3.143
O -2.424 -6.432 -0.525
O -1.050 -9.495 -0.432
O -0.509 -3.870 -0.954
Tl -1.949 -2.628 0.368
Tl -2.334 -4.705 -2.109
Zn 0.732 -7.031 -2.776
Zn -2.675 -8.363 -1.128

=====

3
Lattice="3.482 0.000 0.000 -1.741 3.015 0.000 0.000 0.000 5.646" Properties=species:S:1:pos:R:3 comment="HoTmO (GGA-PBE, optimized geometry)" dos_at_fermi_per_ev_fu=3.57 de_polymorph_mev_per_atom=4 density_g_cm3=9.8 sg="No. 156" raw_formation_energy_ev_per_atom=-1.814 pbc="T T T"
O 0.000 2.010 3.794
Tm 0.000 0.000 5.092
Ho 1.741 1.005 2.406

=====

4
Lattice="-1.507 -2.069 2.390 1.804 -1.014 2.825 -2.660 5.884 5.982" Properties=species:S:1:pos:R:3 comment="Ho2TmO (GGA-PBE, optimized geometry)" dos_at_fermi_per_ev_fu=4.67 de_polymorph_mev_per_atom=0 density_g_cm3=9.4 sg="No. 166" raw_formation_energy_ev_per_atom=-1.351 pbc="T T T"
Ho -2.024 2.732 8.785
Ho -0.339 0.069 2.411
Tm -1.181 1.400 5.598
O 0.000 0.000 0.000

=====

7
Lattice="-0.376 3.788 3.537 -4.222 1.833 -2.411 -3.034 -3.077 2.974" Properties=species:S:1:pos:R:3 comment="HoTm2O4 (GGA-PBE, optimized geometry)" dos_at_fermi_per_ev_fu=2.04 density_g_cm3=6.6 sg="No. 111" raw_formation_energy_ev_per_atom=-3.018 pbc="T T T"
O -4.474 3.516 1.737
O -5.549 0.065 0.997
O -1.870 0.333 1.100
O -3.371 1.172 4.365
Tm -1.705 0.355 3.255
Tm -3.628 -0.622 0.281
Ho 0.000 0.000 0.000

=====

What did the second record say?
3
Lattice="3.482 0.000 0.000 -1.741 3.015 0.000 0.000 0.000 5.646" Properties=species:S:1:pos:R:3 comment="HoTmO (GGA-PBE, optimized geometry)" dos_at_fermi_per_ev_fu=3.57 de_polymorph_mev_per_atom=4 density_g_cm3=9.8 sg="No. 156" raw_formation_energy_ev_per_atom=-1.814 pbc="T T T"
O 0.000 2.010 3.794
Tm 0.000 0.000 5.092
Ho 1.741 1.005 2.406

=====

What did the first record say?
14
Lattice="-0.772 -4.154 -4.954 2.727 -5.985 0.315 -3.897 -5.255 0.735" Properties=species:S:1:pos:R:3 comment="HoTlZnO4 (GGA-PBE, optimized geometry)" density_g_cm3=8.2 sg="No. 74" raw_formation_energy_ev_per_atom=-1.825 pbc="T T T"
Ho -0.585 -5.620 0.525
Ho 0.000 0.000 0.000
O 0.890 -6.766 -0.760
O 0.482 -8.962 -3.379
O -0.892 -5.899 -3.472
O -1.434 -11.524 -2.950
O -2.832 -8.627 -3.143
O -2.424 -6.432 -0.525
O -1.050 -9.495 -0.432
O -0.509 -3.870 -0.954
Tl -1.949 -2.628 0.368
Tl -2.334 -4.705 -2.109
Zn 0.732 -7.031 -2.776
Zn -2.675 -8.363 -1.128

=====

Which formula does entry 1 have? HoTlZnO4